A geometry-optimized Re2SiRu structure, computed with PBE.

Space group   R3m
Formation energy without anion corrections   -0.073 eV/atom
Density of states at the Fermi level   4.680 states/eV/f.u.

POSCAR file:
```
Re2SiRu
1.0
-3.595 -5.223 5.716
-3.879 -6.792 3.422
-1.489 -6.853 4.869
Re Ru Si
2 1 1
Direct
0.003 0.003 0.003
0.250 0.250 0.250
0.495 0.495 0.495
0.752 0.752 0.752
```